VASP calculation (PBE) on a relaxed structure of CdIn2Cu.

Output
- Symmetry: I-42d, No. 122
- Calculated total energy: -2.470 eV/atom
- Formation energy: 0.152 eV/atom
- Calculated density: 6.8 Mg/m³

a = 8.705 Å, b = 8.705 Å, c = 6.686 Å
α = 49.38°, β = 49.38°, γ = 90.00°
Element x y z (fractional)
Cu1 0.500 0.500 0.000
In1 0.875 0.786 0.750
In2 0.536 0.125 0.250
Cd1 0.750 0.250 0.500
In3 0.214 0.625 0.250
Cd2 0.000 0.000 0.000
Cu2 0.250 0.750 0.500
In4 0.375 0.464 0.750